Record 1
Below is K7Ti8P12O48 after structural relaxation, with properties calculated at the PBE level.

space group: R3
theoretical density: 2980 kg/m3
M_tot: 3.09 μB/f.u.
raw formation energy: -58.512 kcal/mol of atoms

Geometry as extended XYZ:
```
75
Lattice="7.081 4.088 5.762 -7.081 4.088 5.762 0.000 -8.176 5.762" Properties=species:S:1:pos:R:3 pbc="T T T"
K 0.000 0.000 0.000
K -3.505 -1.303 6.561
K -2.559 -2.621 11.049
K 2.881 -2.384 6.561
K 0.624 3.687 6.561
K -0.990 3.526 11.049
K 3.549 -0.906 11.049
Ti -5.543 -0.894 9.839
Ti -1.218 -4.834 8.279
Ti -3.577 3.471 8.279
Ti 0.000 0.000 7.281
Ti 3.546 -4.353 9.839
Ti 0.000 0.000 12.025
Ti 4.795 1.362 8.279
Ti 1.997 5.247 9.839
P -4.581 -4.033 8.596
P -6.041 1.279 7.447
P -0.594 -2.930 5.491
P -2.241 1.980 5.491
P 1.913 -5.872 7.447
P -2.338 0.538 9.548
P 0.703 -2.294 9.548
P 2.835 0.951 5.491
P -1.202 5.984 8.596
P 1.635 1.756 9.548
P 5.783 -1.951 8.596
P 4.129 4.592 7.447
O -4.888 -5.019 9.751
O -1.694 -2.793 4.413
O -1.882 -6.578 7.643
O -5.743 -0.140 7.995
O -4.807 -2.587 9.098
O -3.103 -4.103 8.150
O -3.259 0.982 4.888
O -1.066 -4.027 6.478
O -5.138 2.321 8.126
O 0.779 -3.314 4.888
O -5.274 -1.590 11.677
O -0.490 -1.570 6.212
O -1.572 2.863 4.413
O 0.559 -5.610 8.126
O -2.954 2.936 6.478
O -3.699 -0.122 9.876
O -4.756 4.919 7.643
O -1.115 1.209 6.212
O -0.476 -3.181 9.102
O -1.623 -0.297 8.460
O -2.517 2.002 9.102
O 2.993 -4.904 7.995
O 3.266 -0.071 4.413
O 1.605 0.361 6.212
O 1.069 -1.257 8.460
O -2.002 4.739 8.150
O -1.541 0.546 10.878
O 2.480 2.331 4.888
O 1.955 -3.142 9.876
O 0.298 -1.608 10.878
O 0.554 1.554 8.460
O -1.028 -1.271 13.132
O 4.020 1.090 6.478
O -1.903 6.743 9.751
O 4.644 -2.870 9.098
O 1.243 1.062 10.878
O 0.163 5.457 9.098
O -0.587 1.526 13.132
O 2.992 1.178 9.102
O 4.013 -3.772 11.677
O 5.105 -0.636 8.150
O 1.744 3.265 9.876
O 2.751 5.044 7.995
O 1.615 -0.255 13.132
O 4.579 3.289 8.126
O 6.791 -1.724 9.751
O 6.638 1.659 7.643
O 1.260 5.362 11.677
```

=====

Record 2
Below is Fe2HW2 after structural relaxation, with properties calculated at the PBE level.

space group: I4/mmm
theoretical density: 12688 kg/m3
M_tot: 0.40 μB/f.u.
ΔE to the lowest computed polymorph: 0.275 eV per atom

Geometry as extended XYZ:
```
5
Lattice="-1.513 1.513 6.869 1.513 -1.513 6.869 1.513 1.513 -6.869" Properties=species:S:1:pos:R:3 pbc="T T T"
Fe 1.513 0.000 3.434
Fe 0.000 1.513 3.434
H 0.000 0.000 0.000
W 0.000 0.000 5.539
W 0.000 0.000 8.199
```

=====

Record 3
Below is La8PrSm6 after structural relaxation, with properties calculated at the PBE level.

space group: R-3
calculated formation energy: 0.22 eV per atom
theoretical density: 6437 kg/m3
M_tot: 0.00 μB/f.u.
ΔE to the lowest computed polymorph: 0.084 eV per atom

Geometry as extended XYZ:
```
15
Lattice="4.802 2.773 6.956 -4.802 2.773 6.956 0.000 -5.545 6.956" Properties=species:S:1:pos:R:3 pbc="T T T"
La -1.362 -2.939 9.578
La -3.226 -0.290 11.291
La 0.000 0.000 4.985
La -1.864 2.649 9.578
La 1.864 -2.649 11.291
La 0.000 0.000 15.884
La 3.226 0.290 9.578
La 1.362 2.939 11.291
Pr 0.000 0.000 0.000
Sm -2.690 0.045 7.717
Sm -1.384 -2.308 13.152
Sm 1.306 -2.352 7.717
Sm -1.306 2.352 13.152
Sm 1.384 2.308 7.717
Sm 2.690 -0.045 13.152
```

=====

Record 4
Below is K6AgHg3 after structural relaxation, with properties calculated at the PBE level.

space group: P2_1/c
calculated formation energy: -0.10 eV per atom
theoretical density: 3810 kg/m3
M_tot: 0.00 μB/f.u.

Geometry as extended XYZ:
```
20
Lattice="10.339 0.000 0.000 0.000 7.109 0.000 -9.961 0.000 11.198" Properties=species:S:1:pos:R:3 pbc="T T T"
K -1.597 1.615 2.885
K -6.578 1.940 8.484
K -3.215 0.483 6.470
K 1.766 3.071 0.871
K -1.522 4.125 6.379
K 3.459 6.538 0.780
K -3.082 0.571 10.418
K 1.899 2.983 4.819
K -1.388 4.038 10.326
K 3.593 6.625 4.727
K 6.955 5.169 2.714
K 1.975 5.494 8.312
Ag 0.189 0.000 5.599
Ag 5.169 3.554 0.000
Hg 0.000 0.000 0.000
Hg -4.981 3.554 5.599
Hg -4.590 4.871 8.558
Hg 0.391 5.792 2.959
Hg -0.013 1.317 8.239
Hg 4.967 2.238 2.640
```

=====

Repeat the fourth record exactly.
Below is K6AgHg3 after structural relaxation, with properties calculated at the PBE level.

space group: P2_1/c
calculated formation energy: -0.10 eV per atom
theoretical density: 3810 kg/m3
M_tot: 0.00 μB/f.u.

Geometry as extended XYZ:
```
20
Lattice="10.339 0.000 0.000 0.000 7.109 0.000 -9.961 0.000 11.198" Properties=species:S:1:pos:R:3 pbc="T T T"
K -1.597 1.615 2.885
K -6.578 1.940 8.484
K -3.215 0.483 6.470
K 1.766 3.071 0.871
K -1.522 4.125 6.379
K 3.459 6.538 0.780
K -3.082 0.571 10.418
K 1.899 2.983 4.819
K -1.388 4.038 10.326
K 3.593 6.625 4.727
K 6.955 5.169 2.714
K 1.975 5.494 8.312
Ag 0.189 0.000 5.599
Ag 5.169 3.554 0.000
Hg 0.000 0.000 0.000
Hg -4.981 3.554 5.599
Hg -4.590 4.871 8.558
Hg 0.391 5.792 2.959
Hg -0.013 1.317 8.239
Hg 4.967 2.238 2.640
```